Record 1
Compound: YCd2TcCl
Source: Alexandria via LeMat-Bulk
Functional: GGA-PBE
Structure: relaxed

The crystal system is tetragonal. As for the electronic total energy: -3.14 eV per atom. Its theoretical density is 3.96 g/cm³.

The structure in CIF format:
```
data_YCd2TcCl
_cell_length_a 6.0853
_cell_length_b 6.0853
_cell_length_c 5.0657
_cell_angle_alpha 90.00
_cell_angle_beta 90.00
_cell_angle_gamma 90.00
_symmetry_space_group_name_H-M 'P 4/m m m'
_symmetry_Int_Tables_number 123
_symmetry_space_group_name_Hall '-P 4 2'
loop_
_atom_site_label
_atom_site_type_symbol
_atom_site_fract_x
_atom_site_fract_y
_atom_site_fract_z
Y1 Y 0.0000 0.0000 0.0000
Cd1 Cd 0.0000 0.5000 0.0000
Tc1 Tc 0.0000 0.0000 0.5000
Cl1 Cl 0.5000 0.5000 0.5000
```

Record 2
Compound: HoBIr
Source: Alexandria via LeMat-Bulk
Functional: GGA-PBE
Structure: relaxed

The crystal system is monoclinic. The value obtained for the energy of formation from the pure elements is -0.6421 eV per atom. Its theoretical density is 12.87 g/cm³.

The structure in CIF format:
```
data_HoBIr
_cell_length_a 11.5423
_cell_length_b 3.3992
_cell_length_c 5.0861
_cell_angle_alpha 90.00
_cell_angle_beta 107.96
_cell_angle_gamma 90.00
_symmetry_space_group_name_H-M 'C 1 2/m 1'
_symmetry_Int_Tables_number 12
loop_
_symmetry_equiv_pos_as_xyz
'x,y,z'
'-x,-y,-z'
'-x,y,-z'
'x,-y,z'
'x+1/2,y+1/2,z'
'-x+1/2,-y+1/2,-z'
'-x+1/2,y+1/2,-z'
'x+1/2,-y+1/2,z'
loop_
_atom_site_label
_atom_site_type_symbol
_atom_site_fract_x
_atom_site_fract_y
_atom_site_fract_z
Ho1 Ho 0.1181 0.0000 0.2997
B1 B 0.2275 0.0000 0.8753
Ir1 Ir 0.1101 0.5000 0.7694
```

Record 3
Compound: Rb2PaAs2S6
Source: Alexandria via LeMat-Bulk
Functional: GGA-PBE
Structure: relaxed

The crystal system is monoclinic. As for the electronic total energy: -4.99 eV per atom. Its theoretical density is 3.77 g/cm³.

The structure in CIF format:
```
data_Rb2PaAs2S6
_cell_length_a 12.0989
_cell_length_b 7.2099
_cell_length_c 8.2602
_cell_angle_alpha 90.00
_cell_angle_beta 114.47
_cell_angle_gamma 90.00
_symmetry_space_group_name_H-M 'C 1 2/m 1'
_symmetry_Int_Tables_number 12
loop_
_symmetry_equiv_pos_as_xyz
'x,y,z'
'-x,-y,-z'
'-x,y,-z'
'x,-y,z'
'x+1/2,y+1/2,z'
'-x+1/2,-y+1/2,-z'
'-x+1/2,y+1/2,-z'
'x+1/2,-y+1/2,z'
loop_
_atom_site_label
_atom_site_type_symbol
_atom_site_fract_x
_atom_site_fract_y
_atom_site_fract_z
Rb1 Rb 0.2037 0.0000 0.1640
Pa1 Pa 0.0000 0.0000 0.5000
As1 As 0.0635 0.5000 0.1956
S1 S 0.0405 0.2508 0.7653
S2 S 0.2282 0.0000 0.5779
```

Record 4
Compound: La2YRu
Source: Alexandria via LeMat-Bulk
Functional: GGA-PBE
Structure: relaxed

The crystal system is cubic. The value obtained for the energy of formation from the pure elements is 0.1945 eV per atom. Its theoretical density is 7.27 g/cm³.

The structure in CIF format:
```
data_La2YRu
_cell_length_a 7.5325
_cell_length_b 7.5325
_cell_length_c 7.5325
_cell_angle_alpha 90.00
_cell_angle_beta 90.00
_cell_angle_gamma 90.00
_symmetry_space_group_name_H-M 'F m -3 m'
_symmetry_Int_Tables_number 225
_symmetry_space_group_name_Hall '-F 4 2 3'
loop_
_atom_site_label
_atom_site_type_symbol
_atom_site_fract_x
_atom_site_fract_y
_atom_site_fract_z
La1 La 0.2500 0.2500 0.2500
Y1 Y 0.0000 0.0000 0.0000
Ru1 Ru 0.0000 0.0000 0.5000
```

Record 5
Compound: RbAg2HgI4
Source: Alexandria via LeMat-Bulk
Functional: GGA-PBE
Structure: relaxed

The crystal system is orthorhombic. As for the electronic total energy: -2.10 eV per atom. Its theoretical density is 4.56 g/cm³.

The structure in CIF format:
```
data_RbAg2HgI4
_cell_length_a 9.7264
_cell_length_b 9.7438
_cell_length_c 15.5180
_cell_angle_alpha 90.00
_cell_angle_beta 90.00
_cell_angle_gamma 90.00
_symmetry_space_group_name_H-M 'F m m 2'
_symmetry_Int_Tables_number 42
_symmetry_space_group_name_Hall 'F 2 -2'
loop_
_atom_site_label
_atom_site_type_symbol
_atom_site_fract_x
_atom_site_fract_y
_atom_site_fract_z
Rb1 Rb 0.0000 0.0000 0.0000
Ag1 Ag 0.2500 0.2500 0.2493
Hg1 Hg 0.0000 0.0000 0.4989
I1 I 0.0000 0.2238 0.6517
I2 I 0.2249 0.0000 0.3470
```

Record 6
Compound: Nd4CoPt
Source: Alexandria via LeMat-Bulk
Functional: GGA-PBE
Structure: relaxed

The crystal system is monoclinic. The value obtained for the energy of formation from the pure elements is -0.3766 eV per atom. Its theoretical density is 8.01 g/cm³.

The structure in CIF format:
```
data_Nd4CoPt
_cell_length_a 15.1175
_cell_length_b 7.0046
_cell_length_c 7.0585
_cell_angle_alpha 90.00
_cell_angle_beta 112.86
_cell_angle_gamma 90.00
_symmetry_space_group_name_H-M 'C 1 2/c 1'
_symmetry_Int_Tables_number 15
loop_
_symmetry_equiv_pos_as_xyz
'x,y,z'
'-x,-y,-z'
'-x,y,-z+1/2'
'x,-y,z+1/2'
'x+1/2,y+1/2,z'
'-x+1/2,-y+1/2,-z'
'-x+1/2,y+1/2,-z+1/2'
'x+1/2,-y+1/2,z+1/2'
loop_
_atom_site_label
_atom_site_type_symbol
_atom_site_fract_x
_atom_site_fract_y
_atom_site_fract_z
Nd1 Nd 0.1203 0.0423 0.0385
Nd2 Nd 0.1314 0.4605 0.6454
Co1 Co 0.2500 0.2500 0.0000
Pt1 Pt 0.0000 0.2620 0.2500
```

Record 7
Compound: Ca2LaNi
Source: Alexandria via LeMat-Bulk
Functional: GGA-PBE
Structure: relaxed

The crystal system is orthorhombic. The value obtained for the energy of formation from the pure elements is -0.0054 eV per atom. Its theoretical density is 3.37 g/cm³.

The structure in CIF format:
```
data_Ca2LaNi
_cell_length_a 5.5164
_cell_length_b 12.3858
_cell_length_c 4.0115
_cell_angle_alpha 90.00
_cell_angle_beta 90.00
_cell_angle_gamma 90.00
_symmetry_space_group_name_H-M 'C m m m'
_symmetry_Int_Tables_number 65
_symmetry_space_group_name_Hall '-C 2 2'
loop_
_atom_site_label
_atom_site_type_symbol
_atom_site_fract_x
_atom_site_fract_y
_atom_site_fract_z
Ca1 Ca 0.0000 0.1570 0.0000
La1 La 0.0000 0.5000 0.5000
Ni1 Ni 0.0000 0.0000 0.5000
```

Record 8
Compound: Li2CdIn6
Source: Alexandria via LeMat-Bulk
Functional: GGA-PBE
Structure: relaxed

The crystal system is monoclinic. The value obtained for the energy of formation from the pure elements is -0.0641 eV per atom. Its theoretical density is 6.10 g/cm³.

The structure in CIF format:
```
data_Li2CdIn6
_cell_length_a 9.1194
_cell_length_b 6.8039
_cell_length_c 7.5491
_cell_angle_alpha 90.00
_cell_angle_beta 108.55
_cell_angle_gamma 90.00
_symmetry_space_group_name_H-M 'C 1 2/m 1'
_symmetry_Int_Tables_number 12
loop_
_symmetry_equiv_pos_as_xyz
'x,y,z'
'-x,-y,-z'
'-x,y,-z'
'x,-y,z'
'x+1/2,y+1/2,z'
'-x+1/2,-y+1/2,-z'
'-x+1/2,y+1/2,-z'
'x+1/2,-y+1/2,z'
loop_
_atom_site_label
_atom_site_type_symbol
_atom_site_fract_x
_atom_site_fract_y
_atom_site_fract_z
Li1 Li 0.1729 0.0000 0.0875
Cd1 Cd 0.0000 0.5000 0.0000
In1 In 0.0637 0.2256 0.7250
In2 In 0.2257 0.5000 0.4888
```

Record 9
Compound: LiTlAu
Source: Alexandria via LeMat-Bulk
Functional: GGA-PBE
Structure: relaxed

The crystal system is trigonal. The value obtained for the energy of formation from the pure elements is -0.2196 eV per atom. Its theoretical density is 10.93 g/cm³.

The structure in CIF format:
```
data_LiTlAu
_cell_length_a 4.7773
_cell_length_b 4.7773
_cell_length_c 3.1396
_cell_angle_alpha 90.00
_cell_angle_beta 90.00
_cell_angle_gamma 120.00
_symmetry_space_group_name_H-M 'P 3 m 1'
_symmetry_Int_Tables_number 156
loop_
_symmetry_equiv_pos_as_xyz
'x,y,z'
'-y,x-y,z'
'-x+y,-x,z'
'-y,-x,z'
'-x+y,y,z'
'x,x-y,z'
loop_
_atom_site_label
_atom_site_type_symbol
_atom_site_fract_x
_atom_site_fract_y
_atom_site_fract_z
Li1 Li 0.0000 0.0000 0.0000
Tl1 Tl 0.6667 0.3333 0.3981
Au1 Au 0.3333 0.6667 0.6567
```

Record 10
Compound: MgN6Cl2
Source: Alexandria via LeMat-Bulk
Functional: GGA-PBE
Structure: relaxed

The crystal system is cubic. As for the electronic total energy: -3.01 eV per atom. Its theoretical density is 2.10 g/cm³.

The structure in CIF format:
```
data_MgN6Cl2
_cell_length_a 8.2771
_cell_length_b 8.2771
_cell_length_c 8.2771
_cell_angle_alpha 90.00
_cell_angle_beta 90.00
_cell_angle_gamma 90.00
_symmetry_space_group_name_H-M 'F m -3 m'
_symmetry_Int_Tables_number 225
_symmetry_space_group_name_Hall '-F 4 2 3'
loop_
_atom_site_label
_atom_site_type_symbol
_atom_site_fract_x
_atom_site_fract_y
_atom_site_fract_z
Mg1 Mg 0.0000 0.0000 0.0000
N1 N 0.0000 0.0000 0.2655
Cl1 Cl 0.2500 0.2500 0.2500
```